The following is a PBE with a Hubbard U calculation of crystalline CrIN2F at its relaxed geometry, from Alexandria. Values from VASP.

## Properties
Distance to the lowest polymorph of the same formula: 3.62 eV/f.u.
Energy: -4.35 eV per atom
Symmetry: P4/mmm, No. 123

Geometry as Quantum ESPRESSO input:
```
&SYSTEM
  ibrav = 0, nat = 5, ntyp = 4
/
ATOMIC_SPECIES
N 14.01 N.upf
Cr 52.00 Cr.upf
F 19.00 F.upf
I 126.90 I.upf
CELL_PARAMETERS angstrom
4.104 0.000 0.000
0.000 4.104 0.000
0.000 0.000 4.556
ATOMIC_POSITIONS angstrom
N 2.052 0.000 0.000
Cr 2.052 2.052 2.278
N 0.000 2.052 0.000
F 0.000 0.000 2.278
I 0.000 0.000 0.000
```